Entry 1:
VASP calculation (GGA-PBE) on a geometry-optimized KMn4 structure.

Formation energy from the elements = 2.28 eV/atom
Volume = 21.90 Å³ per atom
Fermi-level density of states = 0.777 states/eV/atom
Raw total energy = -26.4 eV for the cell shown
Total magnetic moment = 16.12 μB/f.u.
E above lowest polymorph = 0.59 eV per formula unit
Symmetry = No. 221

The structure in POSCAR format:
```
KMn4
1.0
-3.437 3.125 1.142
-3.236 -2.757 -2.194
-0.775 -2.349 4.095
K Mn
1 4
direct
0.500 0.500 0.500 K
0.000 0.000 0.000 Mn
0.500 0.000 0.500 Mn
0.000 0.500 0.500 Mn
0.500 0.500 0.000 Mn
```

***

Entry 2:
VASP calculation (GGA-PBE) on a geometry-optimized CeYSe2 structure.

Energy relative to the elements, uncorrected = -1.776 eV/atom
Volume = 25.35 Å³ per atom
Fermi-level density of states = 1.838 states/eV/atom
Raw total energy = -52.9 eV for the cell shown
Total magnetic moment = 1.22 μB/f.u.
E above lowest polymorph = 0.12 eV per formula unit
Symmetry = No. 194

The structure in POSCAR format:
```
CeYSe2
1.0
-2.005 -0.936 3.420
3.820 -1.305 -0.543
4.882 11.764 6.084
Ce Y Se
2 2 4
direct
0.667 0.333 0.250 Ce
0.333 0.667 0.750 Ce
0.000 0.000 0.500 Y
0.000 0.000 0.000 Y
0.333 0.667 0.382 Se
0.667 0.333 0.882 Se
0.667 0.333 0.618 Se
0.333 0.667 0.118 Se
```

***

Entry 3:
VASP calculation (GGA-PBE) on a geometry-optimized HoSc2Sn structure.

Formation energy from the elements = -0.25 eV/atom
Volume = 24.32 Å³ per atom
Fermi-level density of states = 1.503 states/eV/atom
Raw total energy = -22.2 eV for the cell shown
Total magnetic moment = 0.87 μB/f.u.
E above lowest polymorph = 0.83 eV per formula unit
Symmetry = No. 216

The structure in POSCAR format:
```
HoSc2Sn
1.0
-3.463 0.263 -3.819
1.575 0.016 -4.916
-0.854 -4.116 -2.997
Ho Sc Sn
1 2 1
direct
0.500 0.500 0.500 Ho
0.000 0.000 0.000 Sc
0.250 0.250 0.250 Sc
0.750 0.750 0.750 Sn
```

***

Entry 4:
VASP calculation (GGA-PBE) on a geometry-optimized Tb12Pm2Er5 structure.

Formation energy from the elements = 0.06 eV/atom
Volume = 32.14 Å³ per atom
Fermi-level density of states = 1.732 states/eV/atom
Raw total energy = -86.6 eV for the cell shown
Total magnetic moment = 0.00 μB/f.u.
E above lowest polymorph = 0.00 eV per formula unit
Symmetry = No. 2

The structure in POSCAR format:
```
Tb12Pm2Er5
1.0
6.580 0.764 1.353
-2.477 7.854 -2.588
1.820 -0.682 12.004
Tb Pm Er
12 2 5
direct
0.031 0.198 0.264 Tb
0.951 0.645 0.965 Tb
0.486 0.572 0.875 Tb
0.249 0.612 0.430 Tb
0.668 0.862 0.302 Tb
0.536 0.788 0.651 Tb
0.464 0.212 0.349 Tb
0.751 0.388 0.570 Tb
0.332 0.138 0.698 Tb
0.049 0.355 0.035 Tb
0.514 0.428 0.125 Tb
0.969 0.802 0.736 Tb
0.711 0.993 0.048 Pm
0.289 0.007 0.952 Pm
0.200 0.436 0.650 Er
0.221 0.788 0.191 Er
0.000 0.000 0.500 Er
0.779 0.212 0.809 Er
0.800 0.564 0.350 Er
```

***

Entry 5:
VASP calculation (GGA-PBE) on a geometry-optimized NdDyCuTc structure.

Formation energy from the elements = -0.01 eV/atom
Volume = 21.43 Å³ per atom
Fermi-level density of states = 1.022 states/eV/atom
Raw total energy = -23.9 eV for the cell shown
Total magnetic moment = 0.00 μB/f.u.
Symmetry = No. 216

The structure in POSCAR format:
```
NdDyCuTc
1.0
-0.718 -1.210 -4.745
3.785 0.126 -3.186
1.870 -4.219 -1.789
Nd Tc Cu Dy
1 1 1 1
direct
0.500 0.500 0.500 Nd
0.750 0.750 0.750 Tc
0.250 0.250 0.250 Cu
0.000 0.000 0.000 Dy
```

***

Entry 6:
VASP calculation (GGA-PBE) on a geometry-optimized Sm2Zn12Cu5 structure.

Formation energy from the elements = -0.24 eV/atom
Volume = 15.62 Å³ per atom
Fermi-level density of states = 0.382 states/eV/atom
Raw total energy = -49.7 eV for the cell shown
Total magnetic moment = 0.00 μB/f.u.
Symmetry = No. 166

The structure in POSCAR format:
```
Sm2Zn12Cu5
1.0
6.683 0.134 0.707
0.650 6.652 0.707
0.145 0.134 6.718
Sm Zn Cu
2 12 5
direct
0.663 0.663 0.663 Sm
0.337 0.337 0.337 Sm
0.288 0.712 0.000 Zn
0.712 0.000 0.288 Zn
0.000 0.288 0.712 Zn
0.712 0.288 0.000 Zn
0.288 0.000 0.712 Zn
0.000 0.712 0.288 Zn
0.345 0.345 0.853 Zn
0.345 0.853 0.345 Zn
0.853 0.345 0.345 Zn
0.655 0.147 0.655 Zn
0.655 0.655 0.147 Zn
0.147 0.655 0.655 Zn
0.000 0.000 0.500 Cu
0.000 0.500 0.000 Cu
0.500 0.000 0.000 Cu
0.900 0.900 0.900 Cu
0.100 0.100 0.100 Cu
```